[1]
LiEuIn: relaxed, PBE.

Geometry as extended XYZ:
```
3
Lattice="-1.922 1.922 5.537 1.922 -1.922 5.537 1.922 1.922 -5.537" Properties=species:S:1:pos:R:3 pbc="T T T"
Li 0.000 0.000 0.000
Eu 0.000 0.000 3.325
In 0.000 0.000 6.787
```

Results
- symmetry = No. 107
- energy relative to the lowest polymorph listed for this composition (meV per atom) = 38

[2]
Be2HgGe: relaxed, PBE.

Geometry as extended XYZ:
```
8
Lattice="-2.112 2.112 7.424 2.112 -2.112 7.424 2.112 2.112 -7.424" Properties=species:S:1:pos:R:3 pbc="T T T"
Be 3.168 0.679 -1.856
Be 0.679 1.056 1.856
Be -1.056 1.434 5.568
Be 1.434 1.056 9.280
Hg 2.112 0.000 3.712
Hg 0.000 0.000 7.424
Ge 0.000 0.000 0.000
Ge 0.000 2.112 3.712
```

Results
- symmetry = No. 122
- energy relative to the lowest polymorph listed for this composition (meV per atom) = 0

[3]
Pm2Nd2Cd15: relaxed, PBE.

Geometry as extended XYZ:
```
19
Lattice="4.962 2.865 5.622 -4.962 2.865 5.622 0.000 -5.729 5.622" Properties=species:S:1:pos:R:3 pbc="T T T"
Pm 0.000 0.000 1.502
Pm 0.000 0.000 15.365
Nd 0.000 0.000 5.317
Nd 0.000 0.000 11.550
Cd -4.962 0.000 8.434
Cd -1.505 -3.123 5.622
Cd -2.481 1.432 2.811
Cd -3.457 0.258 5.622
Cd -2.357 -1.361 7.907
Cd 1.505 -3.123 5.622
Cd -1.952 2.865 5.622
Cd 0.000 -2.722 8.960
Cd -2.357 1.361 8.960
Cd 2.481 1.432 2.811
Cd 2.357 -1.361 7.907
Cd 0.000 2.722 7.907
Cd 3.457 0.258 5.622
Cd 1.952 2.865 5.622
Cd 2.357 1.361 8.960
```

Results
- symmetry = No. 166

[4]
LaTbY: relaxed, PBE.

Geometry as extended XYZ:
```
6
Lattice="3.694 0.000 0.000 0.000 8.815 3.116 0.000 -8.815 3.116" Properties=species:S:1:pos:R:3 pbc="T T T"
La 0.923 -7.277 3.116
La 2.770 7.277 3.116
Tb 0.923 4.378 2.074
Tb 2.770 -4.378 2.074
Y 0.923 -1.518 3.117
Y 2.770 1.518 3.117
```

Results
- symmetry = No. 40
- energy relative to the lowest polymorph listed for this composition (meV per atom) = 18

What did we get for DOS(E_F)? Answer: 8.61, 3.03, 10.36, 9.51 states/eV per cell, in the order shown.
What did we get for formation energy from the elements? Answer: -0.256, 0.482, -0.132, 0.035 eV/atom, in the order shown.
What did we get for magnetization? Answer: 7.1, 0.0, 0.0, 0.0 Bohr magnetons per cell, in the order shown.